This record from Alexandria via LeMat-Bulk describes LiSmAs after structural relaxation. The functional is GGA-PBE.

Cell lengths 6.6290, 6.6290, 6.6290 Å; angles 90.00, 90.00, 90.00 degrees
Closest atoms and distances in Å follow each position.
Positions (direct):
Li 0.0000 0.0000 0.0000  4 As 2.87
Li 0.0000 0.5000 0.5000  4 As 2.87
Li 0.5000 0.0000 0.5000  4 As 2.87
Li 0.5000 0.5000 0.0000  4 As 2.87
Sm 0.0000 0.0000 0.5000  4 As 2.87
Sm 0.0000 0.5000 0.0000  4 As 2.87
Sm 0.5000 0.0000 0.0000  4 As 2.87
Sm 0.5000 0.5000 0.5000  4 As 2.87
As 0.2500 0.2500 0.7500  4 Sm 2.87, 4 Li 2.87
As 0.2500 0.7500 0.2500  4 Sm 2.87, 4 Li 2.87
As 0.7500 0.2500 0.2500  4 Sm 2.87, 4 Li 2.87
As 0.7500 0.7500 0.7500  4 Sm 2.87, 4 Li 2.87

density of states at the Fermi level	0.63	states/eV per atom
space-group type	F-43m, No. 216
ΔE_f	-0.870	eV/atom
excess energy over the best structure of this formula in the dataset	0.156	eV/atom
V	291	Å³ per cell

---

This record from Alexandria via LeMat-Bulk describes Li3SmAs2 after structural relaxation. The functional is GGA-PBE.

Cell lengths 8.4361, 8.4361, 10.1861 Å; angles 100.71, 100.71, 28.01 degrees
Closest atoms and distances in Å follow each position.
Positions (direct):
Li 0.0000 0.0000 0.0000  2 As 2.35
Li 0.1223 0.1223 0.7309  4 As 2.57-2.68, 3 Li 2.70-2.81
Li 0.1823 0.1823 0.4903  4 As 2.59-2.69, 1 Li 2.81
Li 0.2905 0.2905 0.0930  4 As 2.44-2.59, 1 Li 2.56
Li 0.4495 0.4495 0.1604  5 Li 2.56-2.84, 4 As 2.82
Li 0.5505 0.5505 0.8396  5 Li 2.56-2.84, 4 As 2.82
Li 0.7095 0.7095 0.9070  4 As 2.44-2.59, 1 Li 2.56
Li 0.8177 0.8177 0.5097  4 As 2.59-2.69, 1 Li 2.81
Li 0.8777 0.8777 0.2691  4 As 2.57-2.68, 3 Li 2.70-2.81
Sm 0.3342 0.3342 0.7821  6 As 3.04-3.18, 3 Li 3.31-3.38
Sm 0.5000 0.5000 0.5000  6 As 3.01-3.24
Sm 0.6658 0.6658 0.2179  6 As 3.04-3.18, 3 Li 3.31-3.38
As 0.0446 0.0446 0.3082  4 Li 2.63-2.82
As 0.1428 0.1428 0.9925  5 Li 2.35-2.62
As 0.3065 0.3065 0.3511  6 Li 2.57-2.69
As 0.6935 0.6935 0.6489  6 Li 2.57-2.69
As 0.8572 0.8572 0.0075  5 Li 2.35-2.62
As 0.9554 0.9554 0.6918  4 Li 2.63-2.82

density of states at the Fermi level	0.02	states/eV per atom
space-group type	C2/m, No. 12
ΔE_f	-0.914	eV/atom
V	334	Å³ per cell

---

This record from Alexandria via LeMat-Bulk describes LiSmAs after structural relaxation. The functional is GGA-PBE.

Cell lengths 3.6183, 3.6183, 10.0183 Å; angles 90.00, 90.00, 90.00 degrees
Closest atoms and distances in Å follow each position.
Positions (direct):
Li 0.0000 0.0000 0.0000  4 As 2.74, 1 Sm 2.86
Li 0.5000 0.5000 0.5000  4 As 2.74, 1 Sm 2.86
Sm 0.0000 0.0000 0.2857  1 Li 2.86, 5 As 3.13-3.17
Sm 0.5000 0.5000 0.7857  1 Li 2.86, 5 As 3.13-3.17
As 0.0000 0.0000 0.5981  4 Li 2.74
As 0.5000 0.5000 0.0981  4 Li 2.74

density of states at the Fermi level	1.07	states/eV per atom
space-group type	I4mm, No. 107
ΔE_f	-0.509	eV/atom
excess energy over the best structure of this formula in the dataset	0.517	eV/atom
V	131	Å³ per cell